Record 1
Here is a geometry-optimized MnGeOs3 structure from the Alexandria database. Energies are from GGA-PBEsol.

It has space group Pm-3m (No. 221), with a = 4.4516 Å, b = 4.4516 Å, c = 4.4516 Å, α = 90.00°, β = 90.00° and γ = 90.00°. Symmetry generates all atoms from Mn at (0.0000, 0.0000, 0.0000), Ge at (0.5000, 0.5000, 0.5000) and Os at (0.0000, 0.5000, 0.5000).

The crystal system is cubic. Its total energy is -8.463 eV/atom.


Record 2
Here is a geometry-optimized KMnMo2 structure from the Alexandria database. Energies are from GGA-PBEsol.

It has space group Pmmm (No. 47), with a = 2.7150 Å, b = 3.5965 Å, c = 8.2513 Å, α = 90.00°, β = 90.00° and γ = 90.00°. Symmetry generates all atoms from K at (0.0000, 0.0000, 0.0000), Mn at (0.0000, 0.0000, 0.5000) and Mo at (0.5000, 0.5000, 0.3557).

The value obtained for the energy relative to the lowest polymorph listed for this composition is 0.000 eV/atom. The crystal system is orthorhombic. Its total energy is -7.709 eV/atom.


Record 3
Here is a geometry-optimized Tb4CdIr structure from the Alexandria database. Energies are from GGA-PBEsol.

It has space group F-43m (No. 216), with a = 13.4251 Å, b = 13.4251 Å, c = 13.4251 Å, α = 90.00°, β = 90.00° and γ = 90.00°. Symmetry generates all atoms from Tb at (0.0000, 0.0000, 0.1886), Tb at (0.0596, 0.2500, 0.7500), Tb at (0.0998, 0.0998, 0.4002), Cd at (0.1696, 0.1696, 0.1696) and Ir at (0.1080, 0.1080, 0.6080).

The crystal system is cubic. Its total energy is -5.689 eV/atom.


| no. | D(E_F) (states/eV/cell) | ΔE_f (eV per atom) | density (g/cm3) |
| --- | --- | --- | --- |
| 1 | 2.97 | 1.806 | 13.14 |
| 2 | 4.73 | 0.899 | 5.89 |
| 3 | 69.56 | -0.512 | 10.33 |